--- 1 ---
This record from Alexandria via LeMat-Bulk describes a geometry-optimized Os2PbSe structure. The functional is PBE.

The structure in CIF format:
```
data_Os2PbSe
_symmetry_space_group_name_H-M 'C 1 2/m 1'
_symmetry_Int_Tables_number 12
_cell_length_a 8.425
_cell_length_b 3.047
_cell_length_c 5.799
_cell_angle_alpha 90.00
_cell_angle_beta 102.20
_cell_angle_gamma 90.00
loop_
_symmetry_equiv_pos_as_xyz
'x,y,z'
'-x,-y,-z'
'-x,y,-z'
'x,-y,z'
'x+1/2,y+1/2,z'
'-x+1/2,-y+1/2,-z'
'-x+1/2,y+1/2,-z'
'x+1/2,-y+1/2,z'
loop_
_atom_site_label
_atom_site_type_symbol
_atom_site_fract_x
_atom_site_fract_y
_atom_site_fract_z
_atom_site_occupancy
Os1 Os 0.247 0.000 0.191 1
Pb1 Pb 0.000 0.000 0.500 1
Se1 Se 0.000 0.500 0.000 1
```

--- 2 ---
This record from Alexandria via LeMat-Bulk describes a geometry-optimized Os2PbSe structure. The functional is PBE.

The structure in CIF format:
```
data_Os2PbSe
_symmetry_space_group_name_H-M 'C 1 m 1'
_symmetry_Int_Tables_number 8
_cell_length_a 9.977
_cell_length_b 2.939
_cell_length_c 6.759
_cell_angle_alpha 90.00
_cell_angle_beta 112.69
_cell_angle_gamma 90.00
loop_
_symmetry_equiv_pos_as_xyz
'x,y,z'
'x,-y,z'
'x+1/2,y+1/2,z'
'x+1/2,-y+1/2,z'
loop_
_atom_site_label
_atom_site_type_symbol
_atom_site_fract_x
_atom_site_fract_y
_atom_site_fract_z
_atom_site_occupancy
Os1 Os 0.000 0.000 0.000 1
Os2 Os 0.211 0.500 0.997 1
Pb1 Pb 0.443 0.000 0.343 1
Se1 Se 0.296 0.000 0.765 1
```

List of relative energies, unit meV/atom: 1 260; 2 0

--- 1 ---
This record from Alexandria via LeMat-Bulk describes a geometry-optimized Os2PbSe structure. The functional is PBE.

The structure in CIF format:
```
data_Os2PbSe
_symmetry_space_group_name_H-M 'F m -3 m'
_symmetry_Int_Tables_number 225
_symmetry_space_group_name_Hall '-F 4 2 3'
_cell_length_a 6.528
_cell_length_b 6.528
_cell_length_c 6.528
_cell_angle_alpha 90.00
_cell_angle_beta 90.00
_cell_angle_gamma 90.00
loop_
_atom_site_label
_atom_site_type_symbol
_atom_site_fract_x
_atom_site_fract_y
_atom_site_fract_z
_atom_site_occupancy
Os1 Os 0.250 0.250 0.250 1
Pb1 Pb 0.000 0.000 0.000 1
Se1 Se 0.000 0.000 0.500 1
```

--- 2 ---
This record from Alexandria via LeMat-Bulk describes a geometry-optimized Os2PbSe structure. The functional is PBE.

The structure in CIF format:
```
data_Os2PbSe
_symmetry_space_group_name_H-M 'P m m 2'
_symmetry_Int_Tables_number 25
_cell_length_a 2.914
_cell_length_b 3.823
_cell_length_c 7.552
_cell_angle_alpha 90.00
_cell_angle_beta 90.00
_cell_angle_gamma 90.00
loop_
_symmetry_equiv_pos_as_xyz
'x,y,z'
'-x,-y,z'
'-x,y,z'
'x,-y,z'
loop_
_atom_site_label
_atom_site_type_symbol
_atom_site_fract_x
_atom_site_fract_y
_atom_site_fract_z
_atom_site_occupancy
Os1 Os 0.000 0.000 0.000 1
Os2 Os 0.500 0.500 0.148 1
Pb1 Pb 0.000 0.000 0.403 1
Se1 Se 0.500 0.500 0.817 1
```

--- 3 ---
This record from Alexandria via LeMat-Bulk describes a geometry-optimized Os2PbSe structure. The functional is PBE.

The structure in CIF format:
```
data_Os2PbSe
_symmetry_space_group_name_H-M 'P m m m'
_symmetry_Int_Tables_number 47
_cell_length_a 2.999
_cell_length_b 4.601
_cell_length_c 5.210
_cell_angle_alpha 90.00
_cell_angle_beta 90.00
_cell_angle_gamma 90.00
loop_
_symmetry_equiv_pos_as_xyz
'x,y,z'
'-x,-y,-z'
'-x,-y,z'
'x,y,-z'
'x,-y,-z'
'-x,y,z'
'-x,y,-z'
'x,-y,z'
loop_
_atom_site_label
_atom_site_type_symbol
_atom_site_fract_x
_atom_site_fract_y
_atom_site_fract_z
_atom_site_occupancy
Os1 Os 0.000 0.000 0.000 1
Os2 Os 0.500 0.000 0.500 1
Pb1 Pb 0.000 0.500 0.500 1
Se1 Se 0.500 0.500 0.000 1
```

--- 4 ---
This record from Alexandria via LeMat-Bulk describes a geometry-optimized Os2PbSe structure. The functional is PBE.

The structure in CIF format:
```
data_Os2PbSe
_symmetry_space_group_name_H-M 'I -4 2 d'
_symmetry_Int_Tables_number 122
_symmetry_space_group_name_Hall 'I -4 2bw'
_cell_length_a 5.990
_cell_length_b 5.990
_cell_length_c 10.795
_cell_angle_alpha 90.00
_cell_angle_beta 90.00
_cell_angle_gamma 90.00
loop_
_atom_site_label
_atom_site_type_symbol
_atom_site_fract_x
_atom_site_fract_y
_atom_site_fract_z
_atom_site_occupancy
Os1 Os 0.201 0.250 0.125 1
Pb1 Pb 0.000 0.000 0.500 1
Se1 Se 0.000 0.000 0.000 1
```

List of relative energies, unit meV/atom: 1 538; 2 0; 3 578; 4 612

--- 1 ---
This record from Alexandria via LeMat-Bulk describes a geometry-optimized Os2PbSe structure. The functional is PBE.

The structure in CIF format:
```
data_Os2PbSe
_symmetry_space_group_name_H-M 'P 4/m m m'
_symmetry_Int_Tables_number 123
_symmetry_space_group_name_Hall '-P 4 2'
_cell_length_a 4.611
_cell_length_b 4.611
_cell_length_c 3.253
_cell_angle_alpha 90.00
_cell_angle_beta 90.00
_cell_angle_gamma 90.00
loop_
_atom_site_label
_atom_site_type_symbol
_atom_site_fract_x
_atom_site_fract_y
_atom_site_fract_z
_atom_site_occupancy
Os1 Os 0.000 0.500 0.000 1
Pb1 Pb 0.000 0.000 0.500 1
Se1 Se 0.500 0.500 0.500 1
```

--- 2 ---
This record from Alexandria via LeMat-Bulk describes a geometry-optimized Os2PbSe structure. The functional is PBE.

The structure in CIF format:
```
data_Os2PbSe
_symmetry_space_group_name_H-M 'P 1 2/m 1'
_symmetry_Int_Tables_number 10
_cell_length_a 3.027
_cell_length_b 4.230
_cell_length_c 5.957
_cell_angle_alpha 90.00
_cell_angle_beta 94.43
_cell_angle_gamma 90.00
loop_
_symmetry_equiv_pos_as_xyz
'x,y,z'
'-x,-y,-z'
'-x,y,-z'
'x,-y,z'
loop_
_atom_site_label
_atom_site_type_symbol
_atom_site_fract_x
_atom_site_fract_y
_atom_site_fract_z
_atom_site_occupancy
Os1 Os 0.208 0.000 0.313 1
Pb1 Pb 0.500 0.500 0.000 1
Se1 Se 0.000 0.500 0.500 1
```

List of relative energies, unit meV/atom: 1 0; 2 8

--- 1 ---
This record from Alexandria via LeMat-Bulk describes a geometry-optimized OsPbSe structure. The functional is PBE.

The structure in CIF format:
```
data_OsPbSe
_symmetry_space_group_name_H-M 'P -6 m 2'
_symmetry_Int_Tables_number 187
_symmetry_space_group_name_Hall 'P -6 2'
_cell_length_a 4.4829
_cell_length_b 4.4829
_cell_length_c 3.4997
_cell_angle_alpha 90.00
_cell_angle_beta 90.00
_cell_angle_gamma 120.00
loop_
_atom_site_label
_atom_site_type_symbol
_atom_site_fract_x
_atom_site_fract_y
_atom_site_fract_z
_atom_site_occupancy
Os1 Os 0.0000 0.0000 0.0000 1
Pb1 Pb 0.6667 0.3333 0.5000 1
Se1 Se 0.3333 0.6667 0.0000 1
```

--- 2 ---
This record from Alexandria via LeMat-Bulk describes a geometry-optimized OsPbSe structure. The functional is PBE.

The structure in CIF format:
```
data_OsPbSe
_symmetry_space_group_name_H-M 'I 4 m m'
_symmetry_Int_Tables_number 107
_symmetry_space_group_name_Hall 'I 4 -2'
_cell_length_a 3.103
_cell_length_b 3.103
_cell_length_c 13.850
_cell_angle_alpha 90.00
_cell_angle_beta 90.00
_cell_angle_gamma 90.00
loop_
_atom_site_label
_atom_site_type_symbol
_atom_site_fract_x
_atom_site_fract_y
_atom_site_fract_z
_atom_site_occupancy
Os1 Os 0.000 0.000 0.000 1
Pb1 Pb 0.000 0.000 0.663 1
Se1 Se 0.000 0.000 0.406 1
```

List of relative energies, unit meV/atom: 1 276; 2 0

--- 1 ---
This record from Alexandria via LeMat-Bulk describes a geometry-optimized OsPbSe structure. The functional is PBE.

The structure in CIF format:
```
data_OsPbSe
_symmetry_space_group_name_H-M 'F -4 3 m'
_symmetry_Int_Tables_number 216
_symmetry_space_group_name_Hall 'F -4 2 3'
_cell_length_a 6.407
_cell_length_b 6.407
_cell_length_c 6.407
_cell_angle_alpha 90.00
_cell_angle_beta 90.00
_cell_angle_gamma 90.00
loop_
_atom_site_label
_atom_site_type_symbol
_atom_site_fract_x
_atom_site_fract_y
_atom_site_fract_z
_atom_site_occupancy
Os1 Os 0.000 0.000 0.000 1
Pb1 Pb 0.250 0.250 0.250 1
Se1 Se 0.250 0.250 0.750 1
```

--- 2 ---
This record from Alexandria via LeMat-Bulk describes a geometry-optimized OsPbSe structure. The functional is PBE.

The structure in CIF format:
```
data_OsPbSe
_symmetry_space_group_name_H-M 'P 3 m 1'
_symmetry_Int_Tables_number 156
_cell_length_a 3.3475
_cell_length_b 3.3475
_cell_length_c 7.4790
_cell_angle_alpha 90.00
_cell_angle_beta 90.00
_cell_angle_gamma 120.00
loop_
_symmetry_equiv_pos_as_xyz
'x,y,z'
'-y,x-y,z'
'-x+y,-x,z'
'-y,-x,z'
'-x+y,y,z'
'x,x-y,z'
loop_
_atom_site_label
_atom_site_type_symbol
_atom_site_fract_x
_atom_site_fract_y
_atom_site_fract_z
_atom_site_occupancy
Os1 Os 0.0000 0.0000 0.0000 1
Pb1 Pb 0.6667 0.3333 0.3117 1
Se1 Se 0.3333 0.6667 0.8044 1
```

List of relative energies, unit meV/atom: 1 280; 2 0

--- 1 ---
This record from Alexandria via LeMat-Bulk describes a geometry-optimized Os3PbSe structure. The functional is PBE.

The structure in CIF format:
```
data_Os3PbSe
_symmetry_space_group_name_H-M 'P m -3 m'
_symmetry_Int_Tables_number 221
_symmetry_space_group_name_Hall '-P 4 2 3'
_cell_length_a 4.631
_cell_length_b 4.631
_cell_length_c 4.631
_cell_angle_alpha 90.00
_cell_angle_beta 90.00
_cell_angle_gamma 90.00
loop_
_atom_site_label
_atom_site_type_symbol
_atom_site_fract_x
_atom_site_fract_y
_atom_site_fract_z
_atom_site_occupancy
Os1 Os 0.000 0.000 0.500 1
Pb1 Pb 0.500 0.500 0.500 1
Se1 Se 0.000 0.000 0.000 1
```

--- 2 ---
This record from Alexandria via LeMat-Bulk describes a geometry-optimized Os3PbSe structure. The functional is PBE.

The structure in CIF format:
```
data_Os3PbSe
_symmetry_space_group_name_H-M 'P m -3 m'
_symmetry_Int_Tables_number 221
_symmetry_space_group_name_Hall '-P 4 2 3'
_cell_length_a 5.027
_cell_length_b 5.027
_cell_length_c 5.027
_cell_angle_alpha 90.00
_cell_angle_beta 90.00
_cell_angle_gamma 90.00
loop_
_atom_site_label
_atom_site_type_symbol
_atom_site_fract_x
_atom_site_fract_y
_atom_site_fract_z
_atom_site_occupancy
Os1 Os 0.000 0.000 0.500 1
Pb1 Pb 0.000 0.000 0.000 1
Se1 Se 0.500 0.500 0.500 1
```

List of relative energies, unit meV/atom: 1 0; 2 1525